Record 1
# ScTiHg2

Crystalline ScTiHg2 at its relaxed geometry (PBE, Alexandria via LeMat-Bulk).

Lattice parameters (Å, degrees): 4.066 4.472 4.472 90.00 90.00 90.00
Element x y z (fractional)
1 Ti 0.500 0.000 0.000
2 Hg 0.000 0.000 0.500
3 Hg 0.000 0.500 0.000
4 Sc 0.500 0.500 0.500

Calculated values
Formation energy, eV/atom: -0.1913
ΔE to the lowest computed polymorph, kcal/mol of atoms: 0.00
Total magnetization, μB/f.u.: 1.453
Mass density, Mg/m³: 10.1
Total energy, eV for the cell shown: -15.595

=====

Record 2
# Ce5PuSn3

Crystalline Ce5PuSn3 at its relaxed geometry (PBE, Alexandria via LeMat-Bulk).

Lattice parameters (Å, degrees): 6.540 9.516 9.517 120.00 90.00 90.00
Element x y z (fractional)
1 Sn 0.250 0.343 0.000
2 Sn 0.750 0.343 0.343
3 Sn 0.250 0.657 0.657
4 Pu 0.000 0.000 0.000
5 Ce 0.000 0.333 0.667
6 Sn 0.750 0.000 0.657
7 Ce 0.500 0.333 0.667
8 Ce 0.000 0.667 0.333
9 Ce 0.750 0.679 0.679
10 Sn 0.750 0.657 0.000
11 Pu 0.500 0.000 0.000
12 Ce 0.250 0.000 0.679
13 Ce 0.500 0.667 0.333
14 Ce 0.250 0.321 0.321
15 Ce 0.750 0.000 0.321
16 Ce 0.250 0.679 0.000
17 Sn 0.250 0.000 0.343
18 Ce 0.750 0.321 0.000

Calculated values
Formation energy, eV/atom: -0.4707
ΔE to the lowest computed polymorph, kcal/mol of atoms: 0.00
Total magnetization, μB/f.u.: 13.356
Mass density, Mg/m³: 8.4
Total energy, eV for the cell shown: -120.492

=====

Record 3
# InCuPb2

Crystalline InCuPb2 at its relaxed geometry (PBE, Alexandria via LeMat-Bulk).

Lattice parameters (Å, degrees): 3.401 3.401 8.666 90.00 90.00 89.96
Element x y z (fractional)
1 Pb 0.500 0.500 0.301
2 Pb 0.000 0.000 0.986
3 In 0.500 0.500 0.696
4 Cu 0.000 0.000 0.517

Calculated values
Formation energy, eV/atom: 0.1143
Total magnetization, μB/f.u.: 0.000
Mass density, Mg/m³: 9.8
Total energy, eV for the cell shown: -13.794

=====

Record 4
# NdGdGaAu

Crystalline NdGdGaAu at its relaxed geometry (PBE, Alexandria via LeMat-Bulk).

Lattice parameters (Å, degrees): 5.207 5.207 5.207 60.00 60.00 60.00
Element x y z (fractional)
1 Gd 0.000 0.000 0.000
2 Ga 0.250 0.250 0.250
3 Au 0.750 0.750 0.750
4 Nd 0.500 0.500 0.500

Calculated values
Formation energy, eV/atom: -0.6541
Total magnetization, μB/f.u.: 7.616
Mass density, Mg/m³: 9.4
Total energy, eV for the cell shown: -27.769

=====

Which formula does entry 2 have?
Ce5PuSn3